VASP calculation (GGA+U) on SrUFeO6 after structural relaxation.

The crystal system is tetragonal. The value obtained for the density of states at the Fermi level is 0.733 states/eV per atom. The calculation puts the total energy at -0.566 Ry/atom.

```
SrUFeO6
1.0
5.106 0.000 0.000
0.000 5.106 0.000
0.000 0.000 10.028
Sr U Fe O
2 2 2 12
Direct
0.000 0.000 0.000
0.500 0.500 0.500
0.000 0.000 0.661
0.500 0.500 0.161
0.000 0.000 0.329
0.500 0.500 0.829
0.168 0.168 0.491
0.210 0.210 0.192
0.214 0.214 0.797
0.286 0.714 0.297
0.290 0.710 0.692
0.332 0.668 0.991
0.668 0.332 0.991
0.710 0.290 0.692
0.714 0.286 0.297
0.786 0.786 0.797
0.790 0.790 0.192
0.832 0.832 0.491
```